# 1
Computed, not measured: crystalline Y4Co3 at its relaxed geometry at the PBE level of DFT.

Unit cell a=11.316 b=11.316 c=4.057 alpha=90.00 beta=90.00 gamma=120.00
Site moments in Bohr magnetons follow the coordinates.
Fractional positions:
Y (0.222, 0.248, 0.750)  -0.02
Y (0.485, 0.620, 0.749)  0.00
Y (0.865, 0.485, 0.251)  0.00
Y (0.778, 0.752, 0.250)  -0.02
Y (0.135, 0.515, 0.749)  0.00
Y (0.620, 0.135, 0.251)  0.00
Y (0.027, 0.778, 0.750)  -0.02
Y (0.752, 0.973, 0.750)  -0.02
Y (0.380, 0.865, 0.749)  0.00
Y (0.515, 0.380, 0.251)  0.00
Y (0.973, 0.222, 0.250)  -0.02
Y (0.248, 0.027, 0.250)  -0.02
Co (0.281, 0.440, 0.252)  0.00
Co (0.560, 0.841, 0.252)  0.00
Co (0.333, 0.667, 0.249)  0.00
Co (0.000, 0.000, 0.500)  0.42
Co (0.667, 0.333, 0.751)  0.00
Co (0.159, 0.719, 0.252)  0.00
Co (0.841, 0.281, 0.748)  0.00
Co (0.719, 0.560, 0.748)  0.00
Co (0.440, 0.159, 0.748)  0.00

Output
Total moment: 0.06 μB/f.u.
Excess energy over the best structure of this formula in the dataset: 0 meV/atom

# 2
Computed, not measured: crystalline ZrHgTePd2 at its relaxed geometry at the PBE level of DFT.

Unit cell a=4.967 b=5.384 c=4.967 alpha=90.00 beta=90.00 gamma=90.00
Site moments in Bohr magnetons follow the coordinates.
Fractional positions:
Zr (0.500, 0.500, 0.500)  0.75
Pd (0.500, 0.000, 0.000)  -0.01
Pd (0.000, 0.000, 0.500)  -0.02
Te (0.000, 0.500, 0.000)  -0.03
Hg (0.000, 0.000, 0.000)  0.00

Output
Total moment: 1.07 μB/f.u.
Raw formation energy: 3.92 eV/f.u.